Below is a geometry-optimized KVB2 structure, with properties calculated at the PBE level.

Computed properties:
- magnetic moment (μB per formula unit) = 2.208
- offset from the most stable computed form (meV/atom) = 663.0
- DOS(E_F) (states/eV/cell) = 4.11
- ΔH_f (0 K) (eV per atom) = 1.8392

Cell lengths 4.3500, 4.3500, 4.3500 Å; angles 60.00, 60.00, 60.00 degrees
With the nearest neighbours (Å) after each atom.
Element x y z (fractional)
V 0.5000 0.5000 0.5000  8 B 2.66
K 0.0000 0.0000 0.0000  8 B 2.66
B 0.7500 0.7500 0.7500  4 V 2.66, 4 K 2.66
B 0.2500 0.2500 0.2500  4 V 2.66, 4 K 2.66

---

Below is a geometry-optimized SmTm4Mg structure, with properties calculated at the PBE level.

Computed properties:
- magnetic moment (μB per formula unit) = 0.001
- offset from the most stable computed form (meV/atom) = 60.2
- DOS(E_F) (states/eV/cell) = 18.96
- ΔH_f (0 K) (eV per atom) = 0.0563

Cell lengths 8.6952, 6.4698, 8.2124 Å; angles 109.73, 119.17, 96.11 degrees
With the nearest neighbours (Å) after each atom.
Element x y z (fractional)
Tm 0.0862 0.3537 0.3534  9 Tm 3.37-3.74, 1 Mg 3.44, 1 Sm 3.48
Tm 0.7672 0.9996 0.3534  9 Tm 3.37-3.74, 1 Mg 3.44, 1 Sm 3.48
Tm 0.9138 0.6463 0.6466  9 Tm 3.37-3.74, 1 Mg 3.44, 1 Sm 3.48
Tm 0.3554 0.6130 0.8788  7 Tm 3.21-3.59, 2 Sm 3.28-3.42, 2 Mg 3.30-3.46
Mg 0.4090 0.6590 0.3179  3 Sm 3.25-3.36, 6 Tm 3.30-3.46
Tm 0.0234 0.2658 0.8788  7 Tm 3.21-3.59, 2 Sm 3.28-3.42, 2 Mg 3.30-3.46
Sm 0.3372 0.0872 0.1745  3 Mg 3.25-3.36, 6 Tm 3.28-3.48
Tm 0.2328 0.0004 0.6466  9 Tm 3.37-3.74, 1 Mg 3.44, 1 Sm 3.48
Sm 0.6627 0.9128 0.8255  3 Mg 3.25-3.36, 6 Tm 3.28-3.48
Mg 0.5910 0.3410 0.6821  3 Sm 3.25-3.36, 6 Tm 3.30-3.46
Tm 0.6446 0.3870 0.1212  7 Tm 3.21-3.59, 2 Sm 3.28-3.42, 2 Mg 3.30-3.46
Tm 0.9766 0.7342 0.1212  7 Tm 3.21-3.59, 2 Sm 3.28-3.42, 2 Mg 3.30-3.46

---

Below is a geometry-optimized CdBi2Cl6 structure, with properties calculated at the PBE level.

Computed properties:
- magnetic moment (μB per formula unit) = 0.000
- raw formation energy (kJ/mol of formula units) = -647.5
- DOS(E_F) (states/eV/cell) = 4.15

Cell lengths 6.1808, 10.4734, 10.4734 Å; angles 93.12, 95.13, 95.13 degrees
With the nearest neighbours (Å) after each atom.
Element x y z (fractional)
Cl 0.7961 0.2861 0.1586  1 Bi 2.50
Cd 0.7500 0.9988 0.0012  2 Cd 3.09, 2 Cl 3.33
Cl 0.5088 0.6759 0.4204  1 Bi 2.60
Cl 0.2961 0.1586 0.2861  1 Bi 2.50
Cl 0.9912 0.5796 0.3241  1 Bi 2.60
Cl 0.7039 0.8414 0.7139  1 Bi 2.50
Cl 0.7770 0.9927 0.3845  1 Bi 2.59
Cl 0.7230 0.6155 0.0073  1 Bi 2.59
Cd 0.2500 0.0012 0.9988  2 Cd 3.09, 2 Cl 3.33
Cl 0.2039 0.7139 0.8414  1 Bi 2.50
Cl 0.0088 0.4204 0.6759  1 Bi 2.60
Cl 0.4912 0.3241 0.5796  1 Bi 2.60
Bi 0.3802 0.5120 0.7985  3 Cl 2.50-2.60
Bi 0.6198 0.4880 0.2015  3 Cl 2.50-2.60
Cl 0.2770 0.3845 0.9927  1 Bi 2.59
Cl 0.2230 0.0073 0.6155  1 Bi 2.59
Bi 0.8802 0.7985 0.5120  3 Cl 2.50-2.60
Bi 0.1198 0.2015 0.4880  3 Cl 2.50-2.60

---

Below is a geometry-optimized PuRe4 structure, with properties calculated at the PBE level.

Computed properties:
- magnetic moment (μB per formula unit) = 1.520
- DOS(E_F) (states/eV/cell) = 8.46
- ΔH_f (0 K) (eV per atom) = 2.5763

Cell lengths 4.6553, 4.6553, 4.6553 Å; angles 90.00, 90.00, 90.00 degrees
With the nearest neighbours (Å) after each atom.
Element x y z (fractional)
Re 0.0000 0.5000 0.5000  2 Pu 2.33
Re 0.5000 0.0000 0.5000  2 Pu 2.33
Pu 0.5000 0.5000 0.5000  6 Re 2.33
Re 0.5000 0.5000 0.0000  2 Pu 2.33
Re 0.0000 0.0000 0.0000  12 Re 3.29

---

Below is a geometry-optimized TiVCr3 structure, with properties calculated at the PBE level.

Computed properties:
- magnetic moment (μB per formula unit) = 3.426
- offset from the most stable computed form (meV/atom) = 0.0
- DOS(E_F) (states/eV/cell) = 5.53
- ΔH_f (0 K) (eV per atom) = 1.0123

Cell lengths 4.2602, 4.2602, 4.2602 Å; angles 90.00, 90.00, 90.00 degrees
With the nearest neighbours (Å) after each atom.
Element x y z (fractional)
Cr 0.5000 0.0000 0.0000  2 V 2.13
Cr 0.0000 0.5000 0.0000  2 V 2.13
Cr 0.0000 0.0000 0.5000  2 V 2.13
V 0.0000 0.0000 0.0000  6 Cr 2.13
Ti 0.5000 0.5000 0.5000  12 Cr 3.01

---

Below is a geometry-optimized HfNi2HOs structure, with properties calculated at the PBE level.

Computed properties:
- magnetic moment (μB per formula unit) = 0.000
- offset from the most stable computed form (meV/atom) = 80.6
- DOS(E_F) (states/eV/cell) = 5.62

Cell lengths 3.7580, 3.7580, 4.1162 Å; angles 90.00, 90.00, 90.00 degrees
With the nearest neighbours (Å) after each atom.
Element x y z (fractional)
Ni 0.5000 0.0000 0.0000  2 H 1.88
Os 0.5000 0.5000 0.5000  4 Hf 2.66, 8 Ni 2.79
Hf 0.0000 0.0000 0.5000  2 H 2.06
Ni 0.0000 0.5000 0.0000  2 H 1.88
H 0.0000 0.0000 0.0000  4 Ni 1.88, 2 Hf 2.06

---

Below is a geometry-optimized LaNi2W structure, with properties calculated at the PBE level.

Computed properties:
- magnetic moment (μB per formula unit) = 0.792
- offset from the most stable computed form (meV/atom) = 624.4
- DOS(E_F) (states/eV/cell) = 4.76
- ΔH_f (0 K) (eV per atom) = 0.5994

Cell lengths 4.5336, 4.5336, 4.5336 Å; angles 60.00, 60.00, 60.00 degrees
With the nearest neighbours (Å) after each atom.
Element x y z (fractional)
La 0.5000 0.5000 0.5000  4 W 2.78, 4 Ni 2.78
Ni 0.7500 0.7500 0.7500  4 Ni 2.78, 4 La 2.78
Ni 0.0000 0.0000 0.0000  4 W 2.78, 4 Ni 2.78
W 0.2500 0.2500 0.2500  4 La 2.78, 4 Ni 2.78

---

Below is a geometry-optimized Ca5Cl structure, with properties calculated at the PBE level.

Computed properties:
- magnetic moment (μB per formula unit) = 0.000
- raw formation energy (kJ/mol of formula units) = -267.7
- DOS(E_F) (states/eV/cell) = 5.66

Cell lengths 6.7701, 6.7701, 9.6270 Å; angles 73.84, 73.84, 32.25 degrees
With the nearest neighbours (Å) after each atom.
Element x y z (fractional)
Cl 0.2553 0.2553 0.9694  6 Ca 3.04-3.10
Ca 0.6135 0.6135 0.1934  2 Cl 3.05
Ca 0.6983 0.6983 0.7470  2 Cl 3.10
Ca 0.3175 0.3175 0.3782  12 Ca 3.75-4.08
Ca 0.9343 0.9343 0.9879  2 Cl 3.04
Ca 0.0143 0.0143 0.5574  11 Ca 3.76-3.98

---

Below is a geometry-optimized BaAg3 structure, with properties calculated at the PBE level.

Computed properties:
- magnetic moment (μB per formula unit) = 0.000
- offset from the most stable computed form (meV/atom) = 82.0
- DOS(E_F) (states/eV/cell) = 1.60
- ΔH_f (0 K) (eV per atom) = -0.1068

Cell lengths 4.8880, 4.4515, 5.5526 Å; angles 90.12, 90.00, 90.00 degrees
With the nearest neighbours (Å) after each atom.
Element x y z (fractional)
Ag 0.5000 0.7500 0.7500  4 Ag 2.82
Ag 0.0000 0.7510 0.4984  4 Ag 2.76-2.82
Ba 0.5000 0.2500 0.2500  12 Ag 3.55-3.58
Ag 0.0000 0.7490 0.0016  4 Ag 2.76-2.82

---

Below is a geometry-optimized CeSm7Tl2 structure, with properties calculated at the PBE level.

Computed properties:
- magnetic moment (μB per formula unit) = 2.974
- DOS(E_F) (states/eV/cell) = 21.10
- ΔH_f (0 K) (eV per atom) = 0.3722

Cell lengths 5.4683, 9.1246, 9.1246 Å; angles 118.67, 90.00, 90.00 degrees
With the nearest neighbours (Å) after each atom.
Element x y z (fractional)
Sm 0.5000 0.2999 0.0618  2 Tl 3.20-3.37, 2 Sm 3.37-3.51
Sm 0.5000 0.5000 0.5000  2 Tl 3.06
Sm 0.0000 0.2251 0.7749  2 Tl 3.01
Tl 0.5000 0.3048 0.6952  7 Sm 3.01-3.37
Sm 0.5000 0.9382 0.7001  2 Tl 3.20-3.37, 2 Sm 3.37-3.51
Ce 0.0000 0.0000 0.0000  10 Sm 3.53-3.72
Sm 0.0000 0.7749 0.2251  2 Tl 3.01
Tl 0.5000 0.6952 0.3048  7 Sm 3.01-3.37
Sm 0.5000 0.0618 0.2999  2 Tl 3.20-3.37, 2 Sm 3.37-3.51
Sm 0.5000 0.7001 0.9382  2 Tl 3.20-3.37, 2 Sm 3.37-3.51

---

Copy entry 8 word for word.
Below is a geometry-optimized Ca5Cl structure, with properties calculated at the PBE level.

Computed properties:
- magnetic moment (μB per formula unit) = 0.000
- raw formation energy (kJ/mol of formula units) = -267.7
- DOS(E_F) (states/eV/cell) = 5.66

Cell lengths 6.7701, 6.7701, 9.6270 Å; angles 73.84, 73.84, 32.25 degrees
With the nearest neighbours (Å) after each atom.
Element x y z (fractional)
Cl 0.2553 0.2553 0.9694  6 Ca 3.04-3.10
Ca 0.6135 0.6135 0.1934  2 Cl 3.05
Ca 0.6983 0.6983 0.7470  2 Cl 3.10
Ca 0.3175 0.3175 0.3782  12 Ca 3.75-4.08
Ca 0.9343 0.9343 0.9879  2 Cl 3.04
Ca 0.0143 0.0143 0.5574  11 Ca 3.76-3.98